AsP3Os2 | PBE | optimized geometry

Unit cell a=5.2106 b=2.9688 c=6.0122 alpha=90.00 beta=90.99 gamma=90.00
Fractional coordinates of all 6 atoms:
As 0.8383 0.0000 0.3703
Os 0.0040 0.0000 0.9905
Os 0.4868 0.5000 0.5047
P 0.1723 0.0000 0.6353
P 0.6626 0.5000 0.8719
P 0.3359 0.5000 0.1272

space-group type	Pm (6)
total DFT energy (no corrections)	-7.654	eV/atom